Record 1
A plane-wave DFT calculation with PBE-GGA was carried out for crystalline PPt at its relaxed geometry.

Results
Energy (eV for the cell shown): -11.8
Total moment (μB/atom): 0.00

The structure in POSCAR format:
```
PPt
1.0
0.000 2.510 2.510
2.510 0.000 2.510
2.510 2.510 0.000
P Pt
1 1
direct
0.000 0.000 0.000 P
0.500 0.500 0.500 Pt
```

---

Record 2
A plane-wave DFT calculation with PBE-GGA was carried out for crystalline BeCuReBi at its relaxed geometry.

Results
Energy (eV for the cell shown): -20.0
Total moment (μB/atom): 0.01
E above lowest polymorph (eV/atom): 0.075

The structure in POSCAR format:
```
BeCuReBi
1.0
1.481 3.111 2.824
-2.744 3.213 1.413
-1.411 0.026 4.226
Be Bi Cu Re
1 1 1 1
direct
0.250 0.250 0.250 Be
0.000 0.000 0.000 Bi
0.750 0.750 0.750 Cu
0.500 0.500 0.500 Re
```

---

Record 3
A plane-wave DFT calculation with PBE-GGA was carried out for crystalline NdGd2Cd3Ag3 at its relaxed geometry.

Results
Energy (eV for the cell shown): -28.3
Formation enthalpy at 0 K (meV per atom): -338
Total moment (μB/atom): 0.00

The structure in POSCAR format:
```
NdGd2Cd3Ag3
1.0
-0.501 -3.901 0.538
4.244 -1.447 -6.541
3.598 0.509 7.048
Ag Cd Gd Nd
3 3 2 1
direct
0.000 0.002 0.002 Ag
0.500 0.668 0.330 Ag
0.500 0.330 0.668 Ag
0.500 0.739 0.002 Cd
0.500 0.259 0.259 Cd
0.500 0.002 0.739 Cd
0.000 0.405 0.000 Gd
0.000 0.000 0.405 Gd
0.000 0.595 0.595 Nd
```

---

Record 4
A plane-wave DFT calculation with PBE-GGA was carried out for crystalline GdHoSi2Pd4 at its relaxed geometry.

Results
Energy (eV for the cell shown): -48.3
Total moment (μB/atom): 0.00

The structure in POSCAR format:
```
GdHoSi2Pd4
1.0
7.102 0.000 0.000
0.000 1.951 5.107
0.000 -1.951 5.107
Gd Ho Pd Si
1 1 4 2
direct
0.000 0.445 0.445 Gd
0.500 0.555 0.555 Ho
0.198 0.146 0.146 Pd
0.802 0.146 0.146 Pd
0.304 0.854 0.854 Pd
0.696 0.854 0.854 Pd
0.500 0.272 0.272 Si
0.000 0.728 0.728 Si
```

---

Record 5
A plane-wave DFT calculation with PBE-GGA was carried out for crystalline Zn6Ir at its relaxed geometry.

Results
Energy (eV for the cell shown): -17.4
Formation enthalpy at 0 K (meV per atom): -135
Total moment (μB/atom): 0.00

The structure in POSCAR format:
```
Zn6Ir
1.0
0.000 3.783 3.783
3.783 0.000 3.783
3.783 3.783 0.000
Ir Zn
1 6
direct
0.000 0.000 0.000 Ir
0.500 0.000 0.000 Zn
0.000 0.500 0.000 Zn
0.500 0.500 0.000 Zn
0.000 0.000 0.500 Zn
0.500 0.000 0.500 Zn
0.000 0.500 0.500 Zn
```

---

Record 6
A plane-wave DFT calculation with PBE-GGA was carried out for crystalline Dy2Ni3Sn2Pt at its relaxed geometry.

Results
Energy (eV for the cell shown): -45.2
Total moment (μB/atom): 0.00

The structure in POSCAR format:
```
Dy2Ni3Sn2Pt
1.0
4.418 0.000 0.000
-2.209 3.826 0.000
0.000 0.000 8.749
Dy Ni Pt Sn
2 3 1 2
direct
0.333 0.667 0.255 Dy
0.000 0.000 0.746 Dy
0.000 0.000 0.423 Ni
0.333 0.667 0.583 Ni
0.333 0.667 0.911 Ni
0.000 0.000 0.095 Pt
0.667 0.333 0.504 Sn
0.667 0.333 0.984 Sn
```

---

Record 7
A plane-wave DFT calculation with PBE-GGA was carried out for crystalline Li4AsPt2Pb at its relaxed geometry.

Results
Energy (eV for the cell shown): -32.6
Total moment (μB/atom): 0.00

The structure in POSCAR format:
```
Li4AsPt2Pb
1.0
4.344 0.000 0.000
0.000 4.344 0.000
0.000 0.000 6.532
As Li Pb Pt
1 4 1 2
direct
0.000 0.000 0.500 As
0.000 0.000 0.000 Li
0.500 0.000 0.282 Li
0.500 0.500 0.500 Li
0.000 0.500 0.718 Li
0.500 0.500 0.000 Pb
0.000 0.500 0.281 Pt
0.500 0.000 0.719 Pt
```

---

Record 8
A plane-wave DFT calculation with PBE-GGA was carried out for crystalline AcNi2Ir2 at its relaxed geometry.

Results
Energy (eV for the cell shown): -33.5
Formation enthalpy at 0 K (meV per atom): -115
Total moment (μB/atom): 0.06

The structure in POSCAR format:
```
AcNi2Ir2
1.0
-2.019 2.019 5.401
2.019 -2.019 5.401
2.019 2.019 -5.401
Ac Ir Ni
1 2 2
direct
0.000 0.000 0.000 Ac
0.750 0.250 0.500 Ir
0.250 0.750 0.500 Ir
0.389 0.389 0.000 Ni
0.611 0.611 0.000 Ni
```

---

Record 9
A plane-wave DFT calculation with PBE-GGA was carried out for crystalline ZrBeTlCo at its relaxed geometry.

Results
Energy (eV for the cell shown): -21.4
Total moment (μB/atom): 0.00
E above lowest polymorph (eV/atom): 0.000

The structure in POSCAR format:
```
ZrBeTlCo
1.0
0.000 3.146 3.146
3.146 0.000 3.146
3.146 3.146 0.000
Be Co Tl Zr
1 1 1 1
direct
0.750 0.750 0.750 Be
0.250 0.250 0.250 Co
0.500 0.500 0.500 Tl
0.000 0.000 0.000 Zr
```

---

Record 10
A plane-wave DFT calculation with PBE-GGA was carried out for crystalline Cu3Te2 at its relaxed geometry.

Results
Energy (eV for the cell shown): -50.6

The structure in POSCAR format:
```
Cu3Te2
1.0
4.181 -1.506 0.000
4.181 1.506 0.000
-0.490 0.000 30.621
Cu Te
9 6
direct
0.500 0.500 0.000 Cu
0.787 0.787 0.032 Cu
0.076 0.076 0.063 Cu
0.362 0.362 0.094 Cu
0.651 0.651 0.128 Cu
0.349 0.349 0.872 Cu
0.638 0.638 0.906 Cu
0.924 0.924 0.937 Cu
0.213 0.213 0.968 Cu
0.936 0.936 0.173 Te
0.159 0.159 0.262 Te
0.316 0.316 0.342 Te
0.684 0.684 0.658 Te
0.841 0.841 0.738 Te
0.064 0.064 0.827 Te
```

---

Record 11
A plane-wave DFT calculation with PBE-GGA was carried out for crystalline Sm2GdPdPt2Pb3 at its relaxed geometry.

Results
Energy (eV for the cell shown): -49.9
Total moment (μB/atom): 0.00

The structure in POSCAR format:
```
Sm2GdPdPt2Pb3
1.0
-0.620 -3.935 -0.542
5.761 -0.177 -5.307
1.612 -1.294 7.558
Gd Pb Pd Pt Sm
1 3 1 2 2
direct
0.000 0.408 0.408 Gd
0.500 0.999 0.259 Pb
0.500 0.742 0.742 Pb
0.500 0.259 0.999 Pb
0.000 0.003 0.003 Pd
0.500 0.664 0.334 Pt
0.500 0.334 0.664 Pt
0.000 0.000 0.591 Sm
0.000 0.591 0.000 Sm
```

---

Record 12
A plane-wave DFT calculation with PBE-GGA was carried out for crystalline AgHgSeO at its relaxed geometry.

Results
Energy (eV for the cell shown): -22.2
E above lowest polymorph (eV/atom): 0.211

The structure in POSCAR format:
```
AgHgSeO
1.0
-3.423 0.000 0.000
0.000 0.000 -5.990
-1.711 -7.040 0.000
Ag Hg O Se
2 2 2 2
direct
0.429 0.750 0.141 Ag
0.571 0.250 0.859 Ag
0.872 0.250 0.255 Hg
0.128 0.750 0.745 Hg
0.000 0.000 0.000 O
0.000 0.500 0.000 O
0.787 0.750 0.426 Se
0.213 0.250 0.574 Se
```

---

Record 13
A plane-wave DFT calculation with PBE-GGA was carried out for crystalline BePtSO at its relaxed geometry.

Results
Energy (eV for the cell shown): -41.1
Total moment (μB/atom): 0.00
E above lowest polymorph (eV/atom): 0.591

The structure in POSCAR format:
```
BePtSO
1.0
-1.156 -4.105 1.846
3.513 0.370 3.021
-3.427 2.613 3.666
Be O Pt S
2 2 2 2
direct
0.750 0.750 0.231 Be
0.250 0.250 0.769 Be
0.250 0.250 0.013 O
0.750 0.750 0.987 O
0.250 0.250 0.373 Pt
0.750 0.750 0.627 Pt
0.750 0.250 0.500 S
0.250 0.750 0.500 S
```

---

Record 14
A plane-wave DFT calculation with PBE-GGA was carried out for crystalline Hf2ScRe at its relaxed geometry.

Results
Energy (eV for the cell shown): -38.3
Formation enthalpy at 0 K (meV per atom): 97
Total moment (μB/atom): 0.02

The structure in POSCAR format:
```
Hf2ScRe
1.0
2.388 1.379 3.900
-2.388 1.379 3.900
0.000 -2.758 3.900
Hf Re Sc
2 1 1
direct
0.500 0.500 0.500 Hf
0.750 0.750 0.750 Hf
0.250 0.250 0.250 Re
0.000 0.000 0.000 Sc
```

---

Record 15
A plane-wave DFT calculation with PBE-GGA was carried out for crystalline PuAlIr at its relaxed geometry.

Results
Energy (eV for the cell shown): -25.5
Total moment (μB/atom): 1.75

The structure in POSCAR format:
```
PuAlIr
1.0
0.000 3.134 3.134
3.134 0.000 3.134
3.134 3.134 0.000
Al Ir Pu
1 1 1
direct
0.250 0.250 0.250 Al
0.750 0.750 0.750 Ir
0.000 0.000 0.000 Pu
```

---

Record 16
A plane-wave DFT calculation with PBE-GGA was carried out for crystalline NbAsPO at its relaxed geometry.

Results
Energy (eV for the cell shown): -56.3
Total moment (μB/atom): 0.00
E above lowest polymorph (eV/atom): 0.054

The structure in POSCAR format:
```
NbAsPO
1.0
3.377 0.000 0.000
0.000 6.351 0.000
0.000 0.000 7.115
As Nb O P
2 2 2 2
direct
0.000 0.275 0.041 As
0.000 0.725 0.541 As
0.500 0.087 0.480 Nb
0.500 0.913 0.980 Nb
0.000 0.222 0.429 O
0.000 0.778 0.929 O
0.500 0.737 0.304 P
0.500 0.263 0.804 P
```

---

Record 17
A plane-wave DFT calculation with PBE-GGA was carried out for crystalline TbDyCu2Pb at its relaxed geometry.

Results
Energy (eV for the cell shown): -22.3
Total moment (μB/atom): 0.00

The structure in POSCAR format:
```
TbDyCu2Pb
1.0
-1.396 -3.393 -0.072
1.138 -0.621 7.219
-2.746 0.988 6.729
Cu Dy Pb Tb
2 1 1 1
direct
0.500 0.204 0.204 Cu
0.500 0.797 0.797 Cu
0.000 0.365 0.365 Dy
0.500 0.000 0.000 Pb
0.000 0.635 0.635 Tb
```

---

Record 18
A plane-wave DFT calculation with PBE-GGA was carried out for crystalline LiZrReW at its relaxed geometry.

Results
Energy (eV for the cell shown): -35.0
Total moment (μB/atom): 0.00
E above lowest polymorph (eV/atom): 0.087

The structure in POSCAR format:
```
LiZrReW
1.0
0.372 -4.484 -0.161
-2.139 -2.547 3.034
-3.524 -2.508 -1.249
Li Re W Zr
1 1 1 1
direct
0.750 0.750 0.750 Li
0.500 0.500 0.500 Re
0.250 0.250 0.250 W
0.000 0.000 0.000 Zr
```

---

Record 19
A plane-wave DFT calculation with PBE-GGA was carried out for crystalline Nb2NiPb at its relaxed geometry.

Results
Energy (eV for the cell shown): -27.7
Total moment (μB/atom): 0.00

The structure in POSCAR format:
```
Nb2NiPb
1.0
-4.016 -2.312 0.607
-1.164 -1.588 4.238
-3.509 1.991 2.359
Nb Ni Pb
2 1 1
direct
0.000 0.000 0.000 Nb
0.750 0.750 0.750 Nb
0.250 0.250 0.250 Ni
0.500 0.500 0.500 Pb
```

---

Record 20
A plane-wave DFT calculation with PBE-GGA was carried out for crystalline AgBr at its relaxed geometry.

Results
Energy (eV for the cell shown): -5.2

The structure in POSCAR format:
```
AgBr
1.0
-2.242 -0.912 3.697
-3.043 -3.204 0.005
0.765 -3.770 2.175
Ag Br
1 1
direct
0.000 0.000 0.000 Ag
0.250 0.250 0.250 Br
```